1.
## Cr5Pb3N12 (PBE)

Data for an optimized crystal structure of Cr5Pb3N12.

Geometry as POSCAR:
```
Cr5Pb3N12
1.0
-6.295 6.295 6.295
6.295 -6.295 6.295
6.295 6.295 -6.295
Cr Pb N
20 12 48
Direct
0.000 0.000 0.000
0.000 0.000 0.500
0.000 0.500 0.000
0.000 0.500 0.500
0.125 0.750 0.875
0.125 0.875 0.250
0.250 0.125 0.875
0.250 0.625 0.375
0.375 0.250 0.625
0.375 0.625 0.750
0.500 0.000 0.000
0.500 0.000 0.500
0.500 0.500 0.000
0.500 0.500 0.500
0.625 0.375 0.250
0.625 0.750 0.375
0.750 0.375 0.625
0.750 0.875 0.125
0.875 0.125 0.750
0.875 0.250 0.125
0.125 0.250 0.375
0.125 0.375 0.750
0.250 0.375 0.125
0.250 0.875 0.625
0.375 0.125 0.250
0.375 0.750 0.125
0.625 0.250 0.875
0.625 0.875 0.750
0.750 0.125 0.375
0.750 0.625 0.875
0.875 0.625 0.250
0.875 0.750 0.625
0.002 0.687 0.104
0.002 0.815 0.898
0.083 0.685 0.687
0.083 0.898 0.396
0.102 0.604 0.917
0.102 0.998 0.185
0.104 0.002 0.687
0.104 0.602 0.417
0.185 0.102 0.998
0.185 0.583 0.187
0.187 0.185 0.583
0.187 0.502 0.604
0.313 0.896 0.998
0.313 0.917 0.315
0.315 0.313 0.917
0.315 0.502 0.398
0.396 0.083 0.898
0.396 0.813 0.498
0.398 0.315 0.502
0.398 0.583 0.896
0.417 0.104 0.602
0.417 0.813 0.815
0.498 0.396 0.813
0.498 0.602 0.685
0.502 0.398 0.315
0.502 0.604 0.187
0.583 0.187 0.185
0.583 0.896 0.398
0.602 0.417 0.104
0.602 0.685 0.498
0.604 0.187 0.502
0.604 0.917 0.102
0.685 0.498 0.602
0.685 0.687 0.083
0.687 0.083 0.685
0.687 0.104 0.002
0.813 0.498 0.396
0.813 0.815 0.417
0.815 0.417 0.813
0.815 0.898 0.002
0.896 0.398 0.583
0.896 0.998 0.313
0.898 0.002 0.815
0.898 0.396 0.083
0.917 0.102 0.604
0.917 0.315 0.313
0.998 0.185 0.102
0.998 0.313 0.896
```

Output
The density comes out at 6.988 g/cm3.

---

2.
## Cr2PbN (PBE)

Data for an optimized crystal structure of Cr2PbN.

Geometry as POSCAR:
```
Cr2PbN
1.0
-3.121 3.121 3.271
3.121 -3.121 3.271
3.121 3.121 -3.271
Cr Pb N
4 2 2
Direct
0.375 0.235 0.360
0.765 0.125 0.140
0.875 0.015 0.640
0.985 0.625 0.860
0.250 0.750 0.500
0.500 0.500 0.000
0.000 0.000 0.000
0.750 0.250 0.500
```

Output
The density comes out at 8.474 g/cm3.

---

3.
## CrPbN2 (PBE)

Data for an optimized crystal structure of CrPbN2.

Geometry as POSCAR:
```
CrPbN2
1.0
3.586 0.000 0.000
0.000 3.586 0.000
0.000 0.000 9.684
Cr Pb N
2 2 4
Direct
0.250 0.250 0.078
0.750 0.750 0.922
0.250 0.250 0.656
0.750 0.750 0.344
0.250 0.250 0.256
0.250 0.750 0.000
0.750 0.250 0.000
0.750 0.750 0.744
```

Output
The density comes out at 7.661 g/cm3.

---

4.
## CrPbN3 (PBE)

Data for an optimized crystal structure of CrPbN3.

Geometry as POSCAR:
```
CrPbN3
1.0
3.842 0.000 0.000
0.000 3.842 0.000
0.000 0.000 3.842
Cr Pb N
1 1 3
Direct
0.000 0.000 0.000
0.500 0.500 0.500
0.000 0.000 0.500
0.000 0.500 0.000
0.500 0.000 0.000
```

Output
The density comes out at 8.822 g/cm3.

---

5.
## Cr2Pb3N4 (PBE)

Data for an optimized crystal structure of Cr2Pb3N4.

Geometry as POSCAR:
```
Cr2Pb3N4
1.0
5.920 -4.537 0.000
5.920 4.537 0.000
-0.663 0.000 5.845
Cr Pb N
4 6 8
Direct
0.121 0.345 0.486
0.345 0.121 0.986
0.655 0.879 0.014
0.879 0.655 0.514
0.065 0.935 0.250
0.273 0.561 0.960
0.439 0.727 0.540
0.561 0.273 0.460
0.727 0.439 0.040
0.935 0.065 0.750
0.137 0.587 0.548
0.223 0.227 0.232
0.227 0.223 0.732
0.413 0.863 0.952
0.587 0.137 0.048
0.773 0.777 0.268
0.777 0.773 0.768
0.863 0.413 0.452
```

Output
The density comes out at 8.268 g/cm3.

---

6.
## Cr3Pb3N5 (PBE)

Data for an optimized crystal structure of Cr3Pb3N5.

Geometry as POSCAR:
```
Cr3Pb3N5
1.0
5.783 0.000 0.000
-0.900 7.423 0.000
-1.336 -2.245 7.993
Cr Pb N
6 6 10
Direct
0.067 0.177 0.028
0.086 0.427 0.722
0.314 0.501 0.397
0.686 0.499 0.603
0.914 0.573 0.278
0.933 0.823 0.972
0.240 0.053 0.460
0.383 0.829 0.772
0.433 0.697 0.133
0.567 0.303 0.867
0.617 0.171 0.228
0.760 0.947 0.540
0.067 0.357 0.225
0.118 0.308 0.881
0.174 0.704 0.429
0.224 0.973 0.033
0.349 0.449 0.606
0.651 0.551 0.394
0.776 0.027 0.967
0.826 0.296 0.571
0.882 0.692 0.119
0.933 0.643 0.775
```

Output
The density comes out at 8.205 g/cm3.

---

7.
## Cr2PbN (PBE)

Data for an optimized crystal structure of Cr2PbN.

Geometry as POSCAR:
```
Cr2PbN
1.0
0.000 3.198 3.198
3.198 0.000 3.198
3.198 3.198 0.000
Cr Pb N
2 1 1
Direct
0.250 0.250 0.250
0.750 0.750 0.750
0.000 0.000 0.000
0.500 0.500 0.500
```

Output
The density comes out at 8.259 g/cm3.

---

8.
## CrPbN2 (PBE)

Data for an optimized crystal structure of CrPbN2.

Geometry as POSCAR:
```
CrPbN2
1.0
1.713 0.989 6.270
-1.713 0.989 6.270
0.000 -1.977 6.270
Cr Pb N
1 1 2
Direct
0.000 0.000 0.000
0.500 0.500 0.500
0.094 0.094 0.094
0.906 0.906 0.906
```

Output
The density comes out at 7.487 g/cm3.

---

9.
## CrPbN2 (PBE)

Data for an optimized crystal structure of CrPbN2.

Geometry as POSCAR:
```
CrPbN2
1.0
-2.656 2.656 4.338
2.656 -2.656 4.338
2.656 2.656 -4.338
Cr Pb N
2 2 4
Direct
0.000 0.000 0.000
0.750 0.250 0.500
0.250 0.750 0.500
0.500 0.500 0.000
0.375 0.227 0.352
0.773 0.125 0.148
0.875 0.023 0.648
0.977 0.625 0.852
```

Output
The density comes out at 7.795 g/cm3.

---

10.
## CrPbN3 (PBE)

Data for an optimized crystal structure of CrPbN3.

Geometry as POSCAR:
```
CrPbN3
1.0
4.176 0.000 0.000
0.000 4.176 0.000
0.000 0.000 4.176
Cr Pb N
1 1 3
Direct
0.000 0.000 0.000
0.500 0.500 0.500
0.000 0.500 0.500
0.500 0.000 0.500
0.500 0.500 0.000
```

Output
The density comes out at 6.867 g/cm3.

---

11.
## CrPbSe2N (PBE)

Data for an optimized crystal structure of CrPbSe2N.

Geometry as POSCAR:
```
CrPbSe2N
1.0
5.280 0.000 0.000
0.000 5.280 0.000
0.000 0.000 3.607
Cr Pb Se N
1 1 2 1
Direct
0.000 0.000 0.000
0.500 0.500 0.500
0.000 0.500 0.000
0.500 0.000 0.000
0.000 0.000 0.500
```

Output
The density comes out at 7.120 g/cm3.

---

12.
## CrPbSe2N (PBE)

Data for an optimized crystal structure of CrPbSe2N.

Geometry as POSCAR:
```
CrPbSe2N
1.0
5.561 0.000 0.000
0.000 5.561 0.000
0.000 0.000 4.150
Cr Pb Se N
1 1 2 1
Direct
0.000 0.000 0.000
0.500 0.500 0.500
0.000 0.500 0.500
0.500 0.000 0.500
0.500 0.500 0.000
```

Output
The density comes out at 5.578 g/cm3.

---

13.
## CrTe2PbN (PBE)

Data for an optimized crystal structure of CrTe2PbN.

Geometry as POSCAR:
```
CrTe2PbN
1.0
6.439 0.000 0.000
0.000 6.439 0.000
0.000 0.000 4.382
Cr Te Pb N
1 2 1 1
Direct
0.000 0.000 0.000
0.000 0.500 0.500
0.500 0.000 0.500
0.500 0.500 0.500
0.500 0.500 0.000
```

Output
The density comes out at 4.830 g/cm3.

---

14.
## CrTe2PbN (PBE)

Data for an optimized crystal structure of CrTe2PbN.

Geometry as POSCAR:
```
CrTe2PbN
1.0
5.516 0.000 0.000
0.000 5.516 0.000
0.000 0.000 3.593
Cr Te Pb N
1 2 1 1
Direct
0.000 0.000 0.000
0.000 0.500 0.000
0.500 0.000 0.000
0.500 0.500 0.500
0.000 0.000 0.500
```

Output
The density comes out at 8.026 g/cm3.

---

15.
## Tl2CrPbN (PBE)

Data for an optimized crystal structure of Tl2CrPbN.

Geometry as POSCAR:
```
Tl2CrPbN
1.0
5.809 0.000 0.000
0.000 5.809 0.000
0.000 0.000 3.663
Tl Cr Pb N
2 1 1 1
Direct
0.000 0.500 0.000
0.500 0.000 0.000
0.000 0.000 0.500
0.500 0.500 0.500
0.000 0.000 0.000
```

Output
The density comes out at 9.161 g/cm3.

---

16.
## Y2CrPbN (PBE)

Data for an optimized crystal structure of Y2CrPbN.

Geometry as POSCAR:
```
Y2CrPbN
1.0
4.900 0.000 0.000
0.000 4.900 0.000
0.000 0.000 4.200
Y Cr Pb N
2 1 1 1
Direct
0.000 0.500 0.000
0.500 0.000 0.000
0.000 0.000 0.500
0.500 0.500 0.500
0.000 0.000 0.000
```

Output
The density comes out at 7.428 g/cm3.

---

17.
## CrPd2N (PBE)

Data for an optimized crystal structure of CrPd2N.

Geometry as POSCAR:
```
CrPd2N
1.0
-3.910 3.910 1.896
3.910 -3.910 1.896
3.910 3.910 -1.896
Cr Pd N
2 4 2
Direct
0.000 0.000 0.000
0.750 0.250 0.500
0.257 0.625 0.132
0.375 0.507 0.632
0.493 0.125 0.868
0.875 0.743 0.368
0.250 0.750 0.500
0.500 0.500 0.000
```

Output
The density comes out at 7.987 g/cm3.

---

18.
## Cr3PdN (PBE)

Data for an optimized crystal structure of Cr3PdN.

Geometry as POSCAR:
```
Cr3PdN
1.0
3.839 0.000 0.000
0.000 3.839 0.000
0.000 0.000 3.839
Cr Pd N
3 1 1
Direct
0.000 0.000 0.500
0.000 0.500 0.000
0.500 0.000 0.000
0.500 0.500 0.500
0.000 0.000 0.000
```

Output
The density comes out at 8.111 g/cm3.

---

19.
## Cr4PdN2 (PBE)

Data for an optimized crystal structure of Cr4PdN2.

Geometry as POSCAR:
```
Cr4PdN2
1.0
-2.368 2.368 5.477
2.368 -2.368 5.477
2.368 2.368 -5.477
Cr Pd N
4 1 2
Direct
0.000 0.500 0.500
0.242 0.242 0.000
0.500 0.000 0.500
0.758 0.758 0.000
0.000 0.000 0.000
0.394 0.394 0.000
0.606 0.606 0.000
```

Output
The density comes out at 4.630 g/cm3.

---

20.
## Cr3PdN (PBE)

Data for an optimized crystal structure of Cr3PdN.

Geometry as POSCAR:
```
Cr3PdN
1.0
4.869 0.000 0.000
0.000 4.869 0.000
0.000 0.000 4.869
Cr Pd N
3 1 1
Direct
0.000 0.000 0.500
0.000 0.500 0.000
0.500 0.000 0.000
0.000 0.000 0.000
0.500 0.500 0.500
```

Output
The density comes out at 3.977 g/cm3.

---

21.
## CrPdRh2N (PBE)

Data for an optimized crystal structure of CrPdRh2N.

Geometry as POSCAR:
```
CrPdRh2N
1.0
4.086 0.000 0.000
0.000 4.086 0.000
0.000 0.000 3.906
Cr Pd Rh N
1 1 2 1
Direct
0.000 0.000 0.000
0.500 0.500 0.000
0.000 0.500 0.500
0.500 0.000 0.500
0.000 0.000 0.500
```

Output
The density comes out at 9.631 g/cm3.

---

22.
## Cr2PdRuN (PBE)

Data for an optimized crystal structure of Cr2PdRuN.

Geometry as POSCAR:
```
Cr2PdRuN
1.0
3.882 0.000 0.000
0.000 3.882 0.000
0.000 0.000 3.993
Cr Pd Ru N
2 1 1 1
Direct
0.000 0.500 0.000
0.500 0.000 0.000
0.000 0.000 0.500
0.500 0.500 0.500
0.500 0.500 0.000
```

Output
The density comes out at 8.985 g/cm3.

---

| no. | raw formation energy (kJ per mole of atoms) |
| --- | --- |
| 1 | 26 |
| 2 | 16 |
| 3 | 5 |
| 4 | 63 |
| 5 | 8 |
| 6 | 2 |
| 7 | 135 |
| 8 | 94 |
| 9 | 5 |
| 10 | 260 |
| 11 | -8 |
| 12 | 167 |
| 13 | 132 |
| 14 | 5 |
| 15 | 28 |
| 16 | -62 |
| 17 | 34 |
| 18 | -19 |
| 19 | 120 |
| 20 | 210 |
| 21 | 4 |
| 22 | -5 |